This record from the Alexandria database describes a relaxed structure of PmEr3In3. The functional is PBE.

Unit cell a=9.3524 b=9.3524 c=5.1544 alpha=90.00 beta=90.00 gamma=120.00
Space group P6_3/m (No. 176)
Asymmetric unit:
Pm 0.3333 0.6667 0.2500 (multiplicity 2)
Er 0.0013 0.2309 0.2500 (multiplicity 6)
In 0.0704 0.4522 0.7500 (multiplicity 6)

E_tot, eV per formula unit: -29.1
Energy above the most stable polymorph in this dataset, kJ/mol of formula units: 0
Calculated density, Mg/m³: 8.43
Formation energy, kJ/mol of formula units: -239